The following is a GGA-PBE calculation of crystalline NaSc2TaBr at its relaxed geometry, from Alexandria via LeMat-Bulk.

Its formation energy (no corrections) is 608 meV per atom.

The structure belongs to space group P4/mmm (No. 123); the cell edges are 5.0910, 5.0910 and 4.8354 Å and the angles 90.00°, 90.00° and 90.00°. The inequivalent atoms are Na at (0.0000, 0.0000, 0.0000), Sc at (0.0000, 0.5000, 0.5000), Ta at (0.5000, 0.5000, 0.0000) and Br at (0.5000, 0.5000, 0.5000).

=====

The following is a GGA-PBE calculation of crystalline ZnCuH3 at its relaxed geometry, from Alexandria via LeMat-Bulk.

The polymorph energy (0 for the lowest one) is 0.000 eV/atom.

The structure belongs to space group Pm-3m (No. 221); the cell edges are 3.4582, 3.4582 and 3.4582 Å and the angles 90.00°, 90.00° and 90.00°. The inequivalent atoms are Zn at (0.0000, 0.0000, 0.0000), Cu at (0.5000, 0.5000, 0.5000) and H at (0.0000, 0.5000, 0.5000).

=====

The following is a GGA-PBE calculation of crystalline TiHRh2Au at its relaxed geometry, from Alexandria via LeMat-Bulk.

The polymorph energy (0 for the lowest one) is 0.079 eV/atom.

The structure belongs to space group P4/mmm (No. 123); the cell edges are 4.0422, 4.0422 and 3.8934 Å and the angles 90.00°, 90.00° and 90.00°. The inequivalent atoms are Ti at (0.0000, 0.0000, 0.0000), H at (0.5000, 0.5000, 0.5000), Rh at (0.0000, 0.5000, 0.5000) and Au at (0.5000, 0.5000, 0.0000).

=====

The following is a GGA-PBE calculation of crystalline SmH8Rh4Au at its relaxed geometry, from Alexandria via LeMat-Bulk.

The structure belongs to space group R3m (No. 160, hexagonal axes); the cell edges are 5.6431, 5.6431 and 14.3944 Å and the angles 90.00°, 90.00° and 120.00°. The inequivalent atoms are Sm at (0.0000, 0.0000, 0.0000), H at (0.0000, 0.0000, 0.1540), H at (0.0000, 0.0000, 0.6168), H at (0.2003, 0.4006, 0.4968), H at (0.2068, 0.4135, 0.9326), Rh at (0.0000, 0.0000, 0.7460), Rh at (0.1700, 0.3401, 0.2041) and Au at (0.0000, 0.0000, 0.3786).

=====

Total DFT energy (no corrections), respectively: -24.47, -13.13, -30.89, -199.33 eV per cell.